[1]
Density functional theory data (PBE) for SmHo2N after structural relaxation.

```
4
Lattice="3.481 0.000 0.000 1.741 3.015 0.000 1.741 1.005 9.011" Properties=species:S:1:pos:R:3 pbc="T T T"
Ho 1.741 1.005 1.351
Ho 5.222 3.015 7.661
Sm 3.481 2.010 4.506
N 0.000 0.000 0.000
```

* E_form (uncorrected): -796 meV per atom
* calculated volume: 23.65 Å³ per atom
* E above lowest polymorph: 0 meV per atom


[2]
Density functional theory data (PBE) for Cd2NiBi after structural relaxation.

```
4
Lattice="-1.926 1.695 -1.880 -2.489 -1.698 1.019 -1.250 5.670 6.394" Properties=species:S:1:pos:R:3 pbc="T T T"
Ni -2.208 -0.002 -0.430
Bi -2.833 2.834 2.767
Cd -1.023 4.641 5.234
Cd -0.227 1.029 1.160
```

* E_form: 0.120 eV/atom
* calculated volume: 21.85 Å³ per atom


[3]
Density functional theory data (PBE) for BaMn3Te after structural relaxation.

```
5
Lattice="5.077 0.000 0.000 0.000 5.077 0.000 0.000 0.000 5.077" Properties=species:S:1:pos:R:3 pbc="T T T"
Te 0.000 0.000 0.000
Ba 2.538 2.538 2.538
Mn 0.000 2.538 0.000
Mn 0.000 0.000 2.538
Mn 2.538 0.000 0.000
```

* E_form (uncorrected): 661 meV per atom
* calculated volume: 26.17 Å³ per atom
* E above lowest polymorph: 0 meV per atom


[4]
Density functional theory data (PBE) for Pm7Sm2Sc2 after structural relaxation.

```
11
Lattice="3.600 0.000 0.000 1.800 10.526 -0.432 1.800 4.611 9.472" Properties=species:S:1:pos:R:3 pbc="T T T"
Pm 5.400 11.602 2.035
Pm 5.400 9.515 7.865
Pm 3.600 5.007 8.808
Pm 3.600 5.673 2.130
Pm 3.600 10.571 5.055
Pm 1.800 7.843 -0.210
Pm 1.800 3.700 4.392
Sm 1.800 8.398 3.130
Sm 3.600 6.835 5.748
Sc 5.400 12.917 6.508
Sc 1.800 3.281 0.754
```

* E_form: 0.148 eV/atom
* calculated volume: 33.28 Å³ per atom


[5]
Density functional theory data (PBE) for BaZn2 after structural relaxation.

```
6
Lattice="0.824 -6.764 -1.192 -1.847 -4.098 5.258 -2.963 5.248 -3.396" Properties=species:S:1:pos:R:3 pbc="T T T"
Ba -0.767 -8.146 3.049
Ba -0.256 -2.715 1.016
Zn -3.573 0.513 0.473
Zn -0.413 -6.127 0.197
Zn -2.467 -5.304 1.880
Zn -1.519 -0.310 -1.209
```

* E_form: -0.041 eV/atom
* calculated volume: 27.09 Å³ per atom


[6]
Density functional theory data (PBE) for KTcPt2 after structural relaxation.

```
4
Lattice="-0.737 -3.707 -2.683 3.349 -3.154 -0.567 -0.423 -4.200 1.915" Properties=species:S:1:pos:R:3 pbc="T T T"
K 1.094 -5.530 -0.668
Pt 0.000 0.000 0.000
Pt 0.547 -2.765 -0.334
Tc 1.641 -8.295 -1.002
```

* E_form: 0.942 eV/atom
* calculated volume: 17.60 Å³ per atom
* E above lowest polymorph: 860 meV per atom


[7]
Density functional theory data (PBE) for K2MgSn2 after structural relaxation.

```
10
Lattice="-6.820 3.234 -1.915 -3.373 -3.516 6.075 1.246 4.619 3.365" Properties=species:S:1:pos:R:3 pbc="T T T"
Mg 0.000 0.000 0.000
Mg -5.096 -0.141 2.080
K -2.822 0.503 5.438
K -6.755 1.576 5.421
K -6.124 3.835 2.087
K -2.192 2.762 2.104
Sn -5.430 -1.861 4.565
Sn -8.049 0.581 2.183
Sn -4.762 1.580 -0.405
Sn -2.144 -0.862 1.977
```

* E_form: -0.093 eV/atom
* calculated volume: 35.47 Å³ per atom
* E above lowest polymorph: 74 meV per atom


[8]
Density functional theory data (PBE) for Li2Pa2CuS6 after structural relaxation.

```
11
Lattice="6.992 -0.307 0.148 -3.723 5.926 0.148 -1.087 -1.868 6.045" Properties=species:S:1:pos:R:3 pbc="T T T"
Li 5.255 0.703 0.148
Li -1.986 4.916 0.148
Pa -0.601 2.859 3.171
Pa 2.783 0.891 3.171
Cu -0.543 -0.934 3.022
S 1.763 3.031 4.557
S -2.043 1.183 4.603
S 0.418 0.719 1.784
S 2.038 -1.191 4.603
S 4.225 2.567 1.738
S 0.144 4.942 1.738
```

* E_form (uncorrected): -1299 meV per atom
* calculated volume: 22.50 Å³ per atom


[9]
Density functional theory data (PBE) for Tl2Hg12Au after structural relaxation.

```
30
Lattice="-2.721 -5.520 1.039 5.001 -1.855 3.241 -9.153 8.036 18.725" Properties=species:S:1:pos:R:3 pbc="T T T"
Tl -3.612 -0.784 5.125
Tl 0.249 1.049 6.226
Tl -4.401 5.132 15.740
Tl -8.262 3.299 14.639
Hg -6.277 2.824 17.313
Hg -7.417 6.511 15.173
Hg -6.643 1.797 20.290
Hg -5.278 4.555 19.774
Hg -3.006 2.639 6.149
Hg 2.266 -2.062 4.332
Hg -5.861 -0.452 12.463
Hg -1.866 -1.049 8.289
Hg -7.775 5.488 18.152
Hg 0.910 -4.824 4.855
Hg -5.060 2.515 11.582
Hg -4.872 -0.720 9.440
Hg -6.147 5.397 12.576
Hg -2.953 1.833 9.283
Hg -0.238 -1.140 2.713
Hg -2.676 -2.264 11.177
Hg -3.057 -0.763 13.967
Hg -1.736 1.524 3.552
Hg -2.255 2.205 13.086
Hg -5.007 1.709 14.716
Hg -9.141 2.730 18.668
Hg -0.596 -2.163 5.691
Hg -0.757 0.288 11.020
Hg -1.593 -3.902 3.235
Au -1.360 -2.760 0.519
Au 2.500 -0.928 1.620
```

* E_form: 0.028 eV/atom
* calculated volume: 29.00 Å³ per atom


[10]
Density functional theory data (PBE) for Rb5BeBr8 after structural relaxation.

```
14
Lattice="9.099 0.000 -2.148 -5.004 7.040 -3.578 0.909 0.000 9.305" Properties=species:S:1:pos:R:3 pbc="T T T"
Rb -1.728 2.948 0.054
Rb 3.498 5.991 -2.529
Rb 4.496 4.092 1.926
Rb 5.004 0.000 3.578
Rb 3.741 1.049 7.707
Be 0.454 3.520 4.652
Br -1.331 4.685 5.199
Br 0.699 2.037 6.260
Br 5.606 1.219 0.484
Br 5.361 2.867 5.332
Br 1.775 4.173 -0.229
Br 2.054 5.003 4.365
Br 0.395 2.355 2.786
Br -2.734 5.821 1.570
```

* E_form (uncorrected): -1362 meV per atom
* calculated volume: 43.56 Å³ per atom


[11]
Density functional theory data (PBE) for AcGe3Pt3 after structural relaxation.

```
14
Lattice="6.871 0.000 0.000 0.000 6.871 0.000 0.000 0.000 6.871" Properties=species:S:1:pos:R:3 pbc="T T T"
Ac 3.435 3.435 3.435
Ac 0.000 0.000 0.000
Ge 0.000 1.718 3.435
Ge 0.000 5.153 3.435
Ge 3.435 0.000 5.153
Ge 5.153 3.435 0.000
Ge 3.435 0.000 1.718
Ge 1.718 3.435 0.000
Pt 1.718 0.000 3.435
Pt 0.000 3.435 1.718
Pt 3.435 5.153 0.000
Pt 5.153 0.000 3.435
Pt 0.000 3.435 5.153
Pt 3.435 1.718 0.000
```

* E_form: -0.591 eV/atom
* calculated volume: 23.17 Å³ per atom
* E above lowest polymorph: 0 meV per atom


[12]
Density functional theory data (PBE) for HfPa2H8 after structural relaxation.

```
11
Lattice="3.064 0.000 -0.932 -0.909 5.261 -2.988 0.116 -0.198 5.880" Properties=species:S:1:pos:R:3 pbc="T T T"
Hf 1.532 0.000 -0.466
Pa -0.084 3.386 -0.277
Pa 2.354 1.677 2.236
H 1.227 4.801 -1.467
H 0.566 3.019 1.860
H 0.404 0.824 1.329
H -0.200 1.154 -0.656
H 1.866 4.238 0.631
H 1.704 2.043 0.099
H 1.043 0.262 3.427
H 2.470 3.908 2.616
```

* calculated volume: 8.49 Å³ per atom


[13]
Density functional theory data (PBE) for La3Tb4Tm2 after structural relaxation.

```
18
Lattice="-5.684 -2.102 -1.189 -6.282 -2.976 8.883 -8.595 6.812 2.638" Properties=species:S:1:pos:R:3 pbc="T T T"
La -7.037 0.358 0.243
La -16.970 2.876 7.867
La -13.525 1.375 10.089
La -3.591 -1.142 2.465
La -8.546 0.064 6.311
La -12.016 1.670 4.021
Tb -9.807 -2.420 8.259
Tb -6.177 -2.139 7.354
Tb -10.755 4.154 2.074
Tb -14.385 3.873 2.978
Tb -4.846 2.141 2.359
Tb -13.449 3.078 7.014
Tb -15.716 -0.407 7.973
Tb -7.113 -1.345 3.318
Tm -8.473 1.803 3.258
Tm -9.805 3.342 6.162
Tm -12.089 -0.070 7.074
Tm -10.757 -1.608 4.170
```

* E_form: 0.103 eV/atom
* calculated volume: 33.08 Å³ per atom
* E above lowest polymorph: 0 meV per atom


[14]
Density functional theory data (PBE) for AgHAu3 after structural relaxation.

```
5
Lattice="-0.856 -2.067 3.584 -2.147 -2.907 -2.189 3.536 -2.265 -0.461" Properties=species:S:1:pos:R:3 pbc="T T T"
H 0.000 0.000 0.000
Au -1.074 -1.453 -1.094
Au 1.768 -1.133 -0.231
Au -0.428 -1.033 1.792
Ag 0.266 -3.619 0.467
```

* calculated volume: 15.08 Å³ per atom
* E above lowest polymorph: 0 meV per atom


[15]
Density functional theory data (PBE) for Ca2TlW after structural relaxation.

```
4
Lattice="0.098 -1.289 5.135 -4.421 -1.657 2.398 -0.477 -5.065 1.468" Properties=species:S:1:pos:R:3 pbc="T T T"
Tl -2.400 -4.006 4.501
Ca -1.200 -2.003 2.250
Ca -3.600 -6.009 6.751
W 0.000 0.000 0.000
```

* E_form: 0.717 eV/atom
* calculated volume: 26.25 Å³ per atom
* E above lowest polymorph: 227 meV per atom


[16]
Density functional theory data (PBE) for Cs2HfAsSe4 after structural relaxation.

```
16
Lattice="6.961 0.000 0.000 3.481 7.072 0.000 3.481 0.000 13.091" Properties=species:S:1:pos:R:3 pbc="T T T"
Cs 3.481 0.000 8.375
Cs 6.961 0.000 4.716
Cs 8.702 3.536 11.261
Cs 8.702 3.536 1.829
Hf 8.702 3.536 6.545
Hf 0.000 0.000 0.000
As 5.221 3.536 6.545
As 3.481 0.000 0.000
Se 5.035 5.762 1.475
Se 5.035 1.310 11.616
Se 12.368 5.762 11.616
Se 5.407 1.310 1.475
Se 7.147 4.846 5.070
Se 7.147 2.226 8.020
Se 10.256 4.846 8.020
Se 3.295 2.226 5.070
```

* E_form (uncorrected): -877 meV per atom
* calculated volume: 40.28 Å³ per atom


[17]
Density functional theory data (PBE) for KMgCoB2 after structural relaxation.

```
5
Lattice="4.803 0.000 0.000 0.000 4.643 0.000 0.000 0.000 4.803" Properties=species:S:1:pos:R:3 pbc="T T T"
K 0.000 0.000 0.000
B 0.000 0.000 2.402
B 2.402 0.000 0.000
Co 0.000 2.321 0.000
Mg 2.402 2.321 2.402
```

* E_form: 2.745 eV/atom
* calculated volume: 21.42 Å³ per atom


[18]
Density functional theory data (PBE) for YTl2TcPd after structural relaxation.

```
5
Lattice="5.799 0.000 0.000 0.000 4.967 0.000 0.000 0.000 5.799" Properties=species:S:1:pos:R:3 pbc="T T T"
Y 0.000 0.000 0.000
Tl 0.000 0.000 2.899
Tl 2.899 0.000 0.000
Tc 2.899 2.484 2.899
Pd 0.000 2.484 0.000
```

* E_form: 1.333 eV/atom
* calculated volume: 33.40 Å³ per atom


[19]
Density functional theory data (PBE) for La2MgSiH after structural relaxation.

```
5
Lattice="-1.480 -1.347 -4.494 -2.055 -4.050 1.891 -3.808 2.208 0.592" Properties=species:S:1:pos:R:3 pbc="T T T"
H 0.000 0.000 0.000
Si -3.671 -1.594 -1.005
Mg -1.904 1.104 0.296
La -1.027 -2.025 0.945
La -0.740 -0.673 -2.247
```

* calculated volume: 21.50 Å³ per atom


[20]
Density functional theory data (PBE) for ScCd5Ag8 after structural relaxation.

```
14
Lattice="-1.089 2.456 -6.682 6.297 -3.464 0.478 -5.491 -4.420 1.479" Properties=species:S:1:pos:R:3 pbc="T T T"
Sc -1.242 -4.433 -0.323
Cd 1.426 -1.671 0.029
Cd 3.638 -2.012 -5.041
Cd -0.600 -3.426 -3.879
Cd -3.290 -0.982 -2.602
Cd -5.029 -3.747 -0.561
Ag 4.076 -2.548 -0.469
Ag -4.238 -0.877 -5.165
Ag -0.984 -0.589 -4.366
Ag -3.249 -3.901 -2.851
Ag 1.768 -1.885 -2.823
Ag 0.521 -5.576 -2.276
Ag -0.924 -1.855 -1.540
Ag 1.900 -4.481 0.588
```

* E_form: 0.032 eV/atom
* calculated volume: 20.50 Å³ per atom


[21]
Density functional theory data (PBE) for Te2Au after structural relaxation.

```
3
Lattice="-4.056 -0.876 -3.542 5.068 -1.624 -1.200 -0.555 -2.695 1.303" Properties=species:S:1:pos:R:3 pbc="T T T"
Au 0.000 0.000 0.000
Te 1.749 -2.722 -1.329
Te -1.292 -2.473 -2.110
```

* E_form (uncorrected): 384 meV per atom
* calculated volume: 26.16 Å³ per atom


[22]
Density functional theory data (PBE) for Sr3HfPa2N6 after structural relaxation.

```
12
Lattice="6.099 -0.002 0.002 -3.050 5.282 0.002 -1.015 -1.758 5.979" Properties=species:S:1:pos:R:3 pbc="T T T"
Sr -2.056 3.536 2.991
Sr 4.091 -0.014 2.991
Sr 1.017 1.761 2.991
Hf 0.000 0.000 0.000
Pa -0.001 3.521 0.002
Pa 3.051 1.759 0.002
N 3.032 1.792 4.821
N 2.051 3.551 1.169
N -0.998 1.730 1.161
N 0.037 3.522 4.821
N -0.016 -0.028 4.814
N 1.997 0.000 1.161
```

* E_form (uncorrected): -1369 meV per atom
* calculated volume: 16.05 Å³ per atom


[23]
Density functional theory data (PBE) for KCuBi3 after structural relaxation.

```
5
Lattice="-4.365 2.200 -3.382 0.449 -4.687 -3.628 -4.010 -2.920 3.276" Properties=species:S:1:pos:R:3 pbc="T T T"
K 0.000 0.000 0.000
Bi 0.225 -2.344 -1.814
Bi -2.005 -1.460 1.638
Bi -2.183 1.100 -1.691
Cu -3.963 -2.704 -1.867
```

* E_form: 1.434 eV/atom
* calculated volume: 42.01 Å³ per atom
* E above lowest polymorph: 1345 meV per atom


no.,D(E_F) (states/eV/cell),DFT total energy (eV for the cell shown)
1,3.4,-25.4
2,2.4,-11.0
3,2.6,-29.3
4,15.0,-53.7
5,3.3,-9.2
6,5.3,-19.8
7,10.2,-24.5
8,7.1,-66.0
9,4.9,-22.4
10,15.0,-41.0
11,8.5,-80.4
12,6.7,-59.0
13,27.8,-82.6
14,1.4,-15.1
15,2.5,-16.5
16,5.5,-74.5
17,5.1,-9.4
18,6.0,-20.1
19,3.8,-22.0
20,4.7,-33.3
21,1.9,-8.4
22,5.6,-100.4
23,12.0,-9.7